1.
First-principles (PBE) data for a relaxed Al2Ga4Pb crystal, as listed in Alexandria via LeMat-Bulk.

Properties
Energy relative to the elements (eV/atom): 0.062
Total magnetization (μB per formula unit): 0.0
Space group: C2/m (12)

a b c (Å): 5.4027 5.7746 5.7730
angles (deg): 67.92 63.88 63.85
Closest atoms and distances in Å follow each position.
Positions (direct):
Pb (0.0000, 0.0000, 0.0000)  12 Ga 3.12-3.43, 2 Al 3.49
Al (0.7675, 0.4855, 0.4858)  2 Al 2.67-2.75, 4 Ga 2.76-2.92
Al (0.2325, 0.5145, 0.5142)  2 Al 2.67-2.75, 4 Ga 2.76-2.92
Ga (0.6898, 0.5988, 0.0087)  2 Ga 2.64-2.80, 2 Al 2.76-2.92
Ga (0.3102, 0.4012, 0.9913)  2 Ga 2.64-2.80, 2 Al 2.76-2.92
Ga (0.6898, 0.0087, 0.5987)  2 Ga 2.64-2.80, 2 Al 2.76-2.92
Ga (0.3102, 0.9913, 0.4013)  2 Ga 2.64-2.80, 2 Al 2.76-2.92

2.
First-principles (PBE) data for a relaxed Ba3Sr2AcTe6 crystal, as listed in Alexandria via LeMat-Bulk.

Properties
Formation energy from raw total energies (eV per formula unit): -20.6
Total magnetization (μB per formula unit): 0.0
Space group: C2/m (12)

a b c (Å): 4.8586 9.7545 10.8980
angles (deg): 103.24 102.88 90.00
Closest atoms and distances in Å follow each position.
Positions (direct):
Ba (0.5000, 0.5000, 0.0000)  6 Te 3.50-3.51
Ba (0.8325, 0.1690, 0.6651)  6 Te 3.49-3.52
Ba (0.1675, 0.8310, 0.3349)  6 Te 3.49-3.52
Sr (0.8323, 0.6644, 0.6646)  6 Te 3.36-3.40
Sr (0.1677, 0.3356, 0.3354)  6 Te 3.36-3.40
Ac (0.5000, 0.0000, 0.0000)  6 Te 3.36-3.37
Te (0.3375, 0.9100, 0.6750)  1 Ac 3.36, 2 Sr 3.40, 3 Ba 3.51-3.52
Te (0.6694, 0.5748, 0.3389)  3 Sr 3.36, 3 Ba 3.49-3.50
Te (0.6625, 0.0900, 0.3250)  1 Ac 3.36, 2 Sr 3.40, 3 Ba 3.51-3.52
Te (0.0030, 0.2412, 0.0060)  2 Ac 3.37, 1 Sr 3.40, 3 Ba 3.51-3.52
Te (0.9970, 0.7588, 0.9940)  2 Ac 3.37, 1 Sr 3.40, 3 Ba 3.51-3.52
Te (0.3306, 0.4252, 0.6611)  3 Sr 3.36, 3 Ba 3.49-3.50

3.
First-principles (PBE) data for a relaxed HfTiAlCd crystal, as listed in Alexandria via LeMat-Bulk.

Properties
Energy relative to the elements (eV/atom): -0.052
Total magnetization (μB per formula unit): 0.0
Space group: F-43m (216)
ΔE to the lowest computed polymorph (meV per atom): 138

a b c (Å): 4.7426 4.7426 4.7426
angles (deg): 60.00 60.00 60.00
Closest atoms and distances in Å follow each position.
Positions (direct):
Ti (0.2500, 0.2500, 0.2500)  4 Cd 2.90, 4 Al 2.90
Hf (0.7500, 0.7500, 0.7500)  4 Cd 2.90, 4 Al 2.90
Al (0.5000, 0.5000, 0.5000)  4 Ti 2.90, 4 Hf 2.90
Cd (0.0000, 0.0000, 0.0000)  4 Hf 2.90, 4 Ti 2.90

4.
First-principles (PBE) data for a relaxed ErSn6Pt crystal, as listed in Alexandria via LeMat-Bulk.

Properties
Energy relative to the elements (eV/atom): -0.249
Total magnetization (μB per formula unit): 0.0
Space group: C2/m (12)

a b c (Å): 7.0181 6.2853 6.3515
angles (deg): 60.34 74.89 58.21
Closest atoms and distances in Å follow each position.
Positions (direct):
Er (0.0000, 0.0000, 0.0000)  6 Sn 3.17, 2 Pt 3.25
Sn (0.7494, 0.5741, 0.5475)  1 Pt 2.91, 5 Sn 2.98-3.19, 1 Er 3.17
Sn (0.7494, 0.1216, 0.4525)  1 Pt 2.91, 5 Sn 2.98-3.19, 1 Er 3.17
Sn (0.2506, 0.8784, 0.5475)  1 Pt 2.91, 5 Sn 2.98-3.19, 1 Er 3.17
Sn (0.2506, 0.4259, 0.4525)  1 Pt 2.91, 5 Sn 2.98-3.19, 1 Er 3.17
Sn (0.7290, 0.7264, 0.0000)  1 Pt 2.65
Sn (0.2710, 0.2736, 0.0000)  1 Pt 2.65
Pt (0.5000, 0.5000, 0.0000)  6 Sn 2.65-2.91

Question: Which value of total magnetization does entry 3 give?
Answer: 0.0 μB per formula unit

Question: Which formula does entry 4 have?
Answer: ErSn6Pt